Record 1
The following is a PBE calculation of a relaxed LiAgI crystal, from Alexandria via LeMat-Bulk.

Geometry as POSCAR:
```
LiAgI
1.0
3.824 0.000 0.000
0.000 3.877 0.000
0.036 0.014 10.555
Li Ag I
2 2 2
Cartesian
0.952 0.987 2.540
2.908 2.904 8.015
0.991 0.985 10.059
2.870 2.906 0.496
0.996 0.964 7.121
2.865 2.927 3.434
```

Crystal system: triclinic
Formation energy (no corrections) in eV per atom: -0.538
ΔE to the lowest computed polymorph in meV per atom: 0

=====

Record 2
The following is a PBE calculation of a relaxed Li2AgI4 crystal, from Alexandria via LeMat-Bulk.

Geometry as POSCAR:
```
Li2AgI4
1.0
-2.852 2.852 7.528
2.852 -2.852 7.528
2.852 2.852 -7.528
Li Ag I
2 1 4
Cartesian
0.000 0.000 1.625
0.000 0.000 13.431
0.000 0.000 7.528
2.852 0.000 0.000
0.000 0.000 4.237
0.000 2.852 0.000
0.000 0.000 10.819
```

Crystal system: tetragonal
Formation energy (no corrections) in eV per atom: -0.531
ΔE to the lowest computed polymorph in meV per atom: 135

=====

Please write out number 1 again, unchanged.
The following is a PBE calculation of a relaxed LiAgI crystal, from Alexandria via LeMat-Bulk.

Geometry as POSCAR:
```
LiAgI
1.0
3.824 0.000 0.000
0.000 3.877 0.000
0.036 0.014 10.555
Li Ag I
2 2 2
Cartesian
0.952 0.987 2.540
2.908 2.904 8.015
0.991 0.985 10.059
2.870 2.906 0.496
0.996 0.964 7.121
2.865 2.927 3.434
```

Crystal system: triclinic
Formation energy (no corrections) in eV per atom: -0.538
ΔE to the lowest computed polymorph in meV per atom: 0